# 1
Density functional theory data (PBE) for an optimized crystal structure of Rb2NaGeP2.

Lattice parameters (Å, degrees): 6.8223 15.4013 6.5609 90.00 90.00 90.00
With the nearest neighbours (Å) after each atom.
Space group Ibam (No. 72)
Unique sites:
Rb: 0.2407 0.1749 0.0000  4 P 3.44-3.66, 2 Na 3.56, 2 Ge 3.62
Na: 0.0000 0.0000 0.2500  4 P 2.93
Ge: 0.0000 0.5000 0.2500  4 P 2.55
P: 0.2050 0.4120 0.0000  2 Ge 2.55

Values from the calculation:
Electronic total energy, eV for the cell shown: -81.5
Crystal system: orthorhombic

---

# 2
Density functional theory data (PBE) for an optimized crystal structure of NaGe2PRu.

Lattice parameters (Å, degrees): 4.8776 4.8776 4.7166 90.00 90.00 90.00
With the nearest neighbours (Å) after each atom.
Space group P4/mmm (No. 123)
Unique sites:
Na: 0.0000 0.0000 0.0000  2 P 2.36, 4 Ge 2.44
Ge: 0.0000 0.5000 0.0000  2 Na 2.44
P: 0.0000 0.0000 0.5000  2 Na 2.36
Ru: 0.5000 0.5000 0.5000  8 Ge 3.39, 4 P 3.45

Values from the calculation:
Electronic total energy, eV for the cell shown: -17.0
Crystal system: tetragonal

---

# 3
Density functional theory data (PBE) for an optimized crystal structure of NaGeP2S.

Lattice parameters (Å, degrees): 4.8458 4.8458 4.8946 90.00 90.00 90.00
With the nearest neighbours (Å) after each atom.
Space group P4/mmm (No. 123)
Unique sites:
Na: 0.0000 0.0000 0.0000  4 P 2.42, 2 S 2.45
Ge: 0.5000 0.5000 0.5000  4 S 3.43, 8 P 3.44
P: 0.0000 0.5000 0.0000  2 Na 2.42
S: 0.0000 0.0000 0.5000  2 Na 2.45

Values from the calculation:
Electronic total energy, eV for the cell shown: -14.4
ΔE_f (raw), meV per atom: 1288
Crystal system: tetragonal
ΔE to the lowest computed polymorph, meV/atom: 830

---

Computed volume, in the same sequence as the records: 28.72, 22.44, 22.99 A^3/atom.